# 1
A plane-wave DFT calculation with PBE was carried out for a relaxed Y8ErSc6 crystal.

```
data_Y8ErSc6
_chemical_formula_sum 'Y8 Er1 Sc6'
_space_group_name_H-M_alt 'P 1'
_space_group_IT_number 1
_space_group_name_Hall 'P 1'
_cell_length_a 9.0560
_cell_length_b 9.0560
_cell_length_c 6.4496
_cell_angle_alpha 90.00
_cell_angle_beta 90.00
_cell_angle_gamma 120.00
loop_
_atom_site_label
_atom_site_fract_x
_atom_site_fract_y
_atom_site_fract_z
_atom_site_occupancy
Y1 0.0469 0.3542 0.3880 1
Y2 0.3073 0.9531 0.3880 1
Y3 0.3333 0.6667 0.7409 1
Y4 0.3542 0.3073 0.6120 1
Y5 0.6458 0.6927 0.3880 1
Y6 0.6667 0.3333 0.2591 1
Y7 0.6927 0.0469 0.6120 1
Y8 0.9531 0.6458 0.6120 1
Er1 0.0000 0.0000 0.0000 1
Sc1 0.0585 0.6700 0.0952 1
Sc2 0.3300 0.3885 0.0952 1
Sc3 0.3885 0.0585 0.9048 1
Sc4 0.6115 0.9415 0.0952 1
Sc5 0.6700 0.6115 0.9048 1
Sc6 0.9415 0.3300 0.9048 1
```

Output
Formation enthalpy at 0 K: 3.9 eV per formula unit

# 2
A plane-wave DFT calculation with PBE was carried out for a relaxed Y2Er7Sc2 crystal.

```
data_Y2Er7Sc2
_chemical_formula_sum 'Y2 Er7 Sc2'
_space_group_name_H-M_alt 'P 1'
_space_group_IT_number 1
_space_group_name_Hall 'P 1'
_cell_length_a 7.8276
_cell_length_b 7.8276
_cell_length_c 5.9959
_cell_angle_alpha 106.69
_cell_angle_beta 106.69
_cell_angle_gamma 90.76
loop_
_atom_site_label
_atom_site_fract_x
_atom_site_fract_y
_atom_site_fract_z
_atom_site_occupancy
Y1 0.2049 0.7951 0.0000 1
Y2 0.7951 0.2049 0.0000 1
Er1 0.0000 0.0000 0.5000 1
Er2 0.0657 0.5845 0.3164 1
Er3 0.4087 0.4087 0.6913 1
Er4 0.4155 0.9343 0.6836 1
Er5 0.5845 0.0657 0.3164 1
Er6 0.5913 0.5913 0.3087 1
Er7 0.9343 0.4155 0.6836 1
Sc1 0.2397 0.2397 0.0673 1
Sc2 0.7603 0.7603 0.9327 1
```

Output
Formation enthalpy at 0 K: 1.9 eV per formula unit

# 3
A plane-wave DFT calculation with PBE was carried out for a relaxed Y2Er3Sc8 crystal.

```
data_Y2Er3Sc8
_chemical_formula_sum 'Y2 Er3 Sc8'
_space_group_name_H-M_alt 'P 1'
_space_group_IT_number 1
_space_group_name_Hall 'P 1'
_cell_length_a 10.5841
_cell_length_b 10.5841
_cell_length_c 5.1866
_cell_angle_alpha 90.00
_cell_angle_beta 90.00
_cell_angle_gamma 140.36
loop_
_atom_site_label
_atom_site_fract_x
_atom_site_fract_y
_atom_site_fract_z
_atom_site_occupancy
Y1 0.2395 0.7605 0.0000 1
Y2 0.7605 0.2395 0.0000 1
Er1 0.0000 0.0000 0.0000 1
Er2 0.2866 0.2866 0.5000 1
Er3 0.7134 0.7134 0.5000 1
Sc1 0.1280 0.8720 0.5000 1
Sc2 0.1829 0.3999 0.0000 1
Sc3 0.3390 0.6610 0.5000 1
Sc4 0.3999 0.1829 0.0000 1
Sc5 0.6001 0.8171 0.0000 1
Sc6 0.6610 0.3390 0.5000 1
Sc7 0.8171 0.6001 0.0000 1
Sc8 0.8720 0.1280 0.5000 1
```

Output
Formation enthalpy at 0 K: 3.7 eV per formula unit

# 4
A plane-wave DFT calculation with PBE was carried out for a relaxed Y16Er6Sc7 crystal.

```
data_Y16Er6Sc7
_chemical_formula_sum 'Y16 Er6 Sc7'
_space_group_name_H-M_alt 'P 1'
_space_group_IT_number 1
_space_group_name_Hall 'P 1'
_cell_length_a 10.8699
_cell_length_b 10.8699
_cell_length_c 10.8699
_cell_angle_alpha 60.00
_cell_angle_beta 60.00
_cell_angle_gamma 60.00
loop_
_atom_site_label
_atom_site_fract_x
_atom_site_fract_y
_atom_site_fract_z
_atom_site_occupancy
Y1 0.0367 0.6544 0.6544 1
Y2 0.1189 0.1189 0.1189 1
Y3 0.1189 0.1189 0.6433 1
Y4 0.1189 0.6433 0.1189 1
Y5 0.3456 0.3456 0.3456 1
Y6 0.3456 0.3456 0.9633 1
Y7 0.3456 0.9633 0.3456 1
Y8 0.3567 0.8811 0.8811 1
Y9 0.6433 0.1189 0.1189 1
Y10 0.6544 0.0367 0.6544 1
Y11 0.6544 0.6544 0.0367 1
Y12 0.6544 0.6544 0.6544 1
Y13 0.8811 0.3567 0.8811 1
Y14 0.8811 0.8811 0.3567 1
Y15 0.8811 0.8811 0.8811 1
Y16 0.9633 0.3456 0.3456 1
Er1 0.2863 0.2863 0.7137 1
Er2 0.2863 0.7137 0.2863 1
Er3 0.2863 0.7137 0.7137 1
Er4 0.7137 0.2863 0.2863 1
Er5 0.7137 0.2863 0.7137 1
Er6 0.7137 0.7137 0.2863 1
Sc1 0.0000 0.0000 0.0000 1
Sc2 0.0000 0.0000 0.5000 1
Sc3 0.0000 0.5000 0.0000 1
Sc4 0.0000 0.5000 0.5000 1
Sc5 0.5000 0.0000 0.0000 1
Sc6 0.5000 0.0000 0.5000 1
Sc7 0.5000 0.5000 0.0000 1
```

Output
Formation enthalpy at 0 K: 6.1 eV per formula unit